# 1
Computed, not measured: a relaxed V5Fe2CoIr2 crystal at the PBE level of DFT.

a b c (Å): 2.8558 9.5515 9.5515
angles (deg): 90.00 90.00 90.00
Fractional positions:
1 V 0.5000 0.6898 0.4198
2 V 0.5000 0.9198 0.1898
3 V 0.5000 0.4198 0.3102
4 V 0.5000 0.5000 0.0000
5 V 0.5000 0.5802 0.6898
6 V 0.5000 0.8102 0.9198
7 V 0.5000 0.0802 0.8102
8 V 0.5000 0.1898 0.0802
9 V 0.5000 0.0000 0.5000
10 V 0.5000 0.3102 0.5802
11 Fe 0.0000 0.6317 0.8683
12 Fe 0.0000 0.3683 0.1317
13 Fe 0.0000 0.1317 0.6317
14 Fe 0.0000 0.8683 0.3683
15 Co 0.0000 0.0000 0.0000
16 Co 0.0000 0.5000 0.5000
17 Ir 0.0000 0.6701 0.1701
18 Ir 0.0000 0.8299 0.6701
19 Ir 0.0000 0.3299 0.8299
20 Ir 0.0000 0.1701 0.3299

Computed properties:
**DFT formation energy**: -32 meV/atom

# 2
Computed, not measured: a relaxed FeCoIr2W crystal at the PBE level of DFT.

a b c (Å): 4.7376 4.4284 4.7376
angles (deg): 90.00 90.00 90.00
Each line ends with the local moment (μB).
Fractional positions:
1 Co 0.5000 0.5000 0.5000  2.15
2 W 0.0000 0.0000 0.0000  -0.22
3 Ir 0.0000 0.0000 0.5000  -0.07
4 Ir 0.5000 0.0000 0.0000  0.10
5 Fe 0.0000 0.5000 0.0000  1.84

Computed properties:
**DFT formation energy**: 1837 meV/atom

# 3
Computed, not measured: a relaxed FeCoIrW crystal at the PBE level of DFT.

a b c (Å): 3.6448 3.7749 3.7187
angles (deg): 90.00 90.00 90.00
Fractional positions:
1 Ir 0.0000 0.5000 0.5000
2 W 0.0000 0.0000 0.0000
3 Fe 0.5000 0.0000 0.5000
4 Co 0.5000 0.5000 0.0000

Computed properties:
**DFT formation energy**: -117 meV/atom

# 4
Computed, not measured: a relaxed K2FeCo crystal at the PBE level of DFT.

a b c (Å): 6.4959 6.1769 2.8908
angles (deg): 90.07 63.42 114.91
Each line ends with the local moment (μB).
Fractional positions:
1 K 0.0000 0.0000 0.0000  -0.05
2 K 0.5000 0.0000 0.5000  -0.05
3 Fe 0.5000 0.5000 0.0000  2.89
4 Co 0.0000 0.5000 0.5000  1.71

Computed properties:
**Relative energy among the computed polymorphs**: 643 meV per atom
**DFT formation energy**: 1313 meV/atom

> Number 2 is which compound?

FeCoIr2W

> What is the DFT formation energy in the third record?

-117 meV/atom